Ba2ErCl7 | PBE-GGA | relaxed

Cell lengths 15.6282, 6.9611, 10.6430 Å; angles 89.39, 90.00, 90.00 degrees
Closest atoms and distances in Å follow each position.
Element x y z (fractional)
1 Ba 0.7808 0.2685 0.4525  9 Cl 3.13-3.40
2 Ba 0.2808 0.7315 0.0475  9 Cl 3.13-3.40
3 Ba 0.2192 0.7315 0.5475  9 Cl 3.13-3.40
4 Ba 0.7192 0.2685 0.9525  9 Cl 3.13-3.40
5 Ba 0.5598 0.7331 0.6758  9 Cl 3.13-3.43
6 Ba 0.0598 0.2669 0.8242  9 Cl 3.13-3.43
7 Ba 0.4402 0.2669 0.3242  9 Cl 3.13-3.43
8 Ba 0.9402 0.7331 0.1758  9 Cl 3.13-3.43
9 Cl 0.6046 0.9974 0.4275  1 Er 2.72
10 Cl 0.1046 0.0026 0.0725  1 Er 2.72
11 Cl 0.3954 0.0026 0.5725  1 Er 2.72
12 Cl 0.8954 0.9974 0.9275  1 Er 2.72
13 Cl 0.7579 0.5128 0.2002  1 Er 2.77
14 Cl 0.2579 0.4872 0.2998  1 Er 2.77
15 Cl 0.2421 0.4872 0.7998  1 Er 2.77
16 Cl 0.7421 0.5128 0.7002  1 Er 2.77
17 Cl 0.7721 0.9965 0.2078  1 Er 2.72
18 Cl 0.2721 0.0035 0.2922  1 Er 2.72
19 Cl 0.2279 0.0035 0.7922  1 Er 2.72
20 Cl 0.7279 0.9965 0.7078  1 Er 2.72
21 Cl 0.6060 0.5139 0.4147  1 Er 2.78
22 Cl 0.1060 0.4861 0.0853  1 Er 2.78
23 Cl 0.3940 0.4861 0.5853  1 Er 2.78
24 Cl 0.8940 0.5139 0.9147  1 Er 2.78
25 Cl 0.4616 0.6977 0.2125  1 Er 2.65
26 Cl 0.9616 0.3023 0.2875  1 Er 2.65
27 Cl 0.5384 0.3023 0.7875  1 Er 2.65
28 Cl 0.0384 0.6977 0.7125  1 Er 2.65
29 Cl 0.5700 0.1179 0.1236  1 Er 2.71
30 Cl 0.0700 0.8821 0.3764  1 Er 2.71
31 Cl 0.4300 0.8821 0.8764  1 Er 2.71
32 Cl 0.9300 0.1179 0.6236  1 Er 2.71
33 Cl 0.6368 0.6984 0.9767  1 Er 2.66
34 Cl 0.1368 0.3016 0.5233  1 Er 2.66
35 Cl 0.3632 0.3016 0.0233  1 Er 2.66
36 Cl 0.8632 0.6984 0.4767  1 Er 2.66
37 Er 0.6274 0.7795 0.2197  7 Cl 2.65-2.78
38 Er 0.1274 0.2205 0.2803  7 Cl 2.65-2.78
39 Er 0.3726 0.2205 0.7803  7 Cl 2.65-2.78
40 Er 0.8726 0.7795 0.7197  7 Cl 2.65-2.78

Properties
Space-group type: No. 14
Uncorrected formation energy, kJ/mol of atoms: -235.2
Uncorrected energy, eV/atom: -4.5706